Entry from Alexandria via LeMat-Bulk: CrRu2Rh at its PBEsol-relaxed geometry (meta-GGA SCAN).

Results
Symmetry: No. 119
Magnetic moment, μB/cell: 2.7
Energy of formation from the pure elements, meV/atom: 0

Cell: 3.725 3.725 7.421 Å, 90.00 90.00 90.00°
Sites, in units of the cell vectors:
Cr: 0.000 0.000 0.000
Cr: 0.500 0.500 0.500
Ru: 0.000 0.000 0.500
Ru: 0.000 0.500 0.250
Ru: 0.500 0.000 0.750
Ru: 0.500 0.500 0.000
Rh: 0.000 0.500 0.750
Rh: 0.500 0.000 0.250

***

Entry from Alexandria via LeMat-Bulk: CrRu2Rh at its PBEsol-relaxed geometry (meta-GGA SCAN).

Results
Symmetry: No. 99
Magnetic moment, μB/cell: 0.0
Energy of formation from the pure elements, meV/atom: 68

Cell: 2.636 2.636 7.404 Å, 90.00 90.00 90.00°
Sites, in units of the cell vectors:
Cr: 0.000 0.000 0.000
Ru: 0.000 0.000 0.504
Ru: 0.500 0.500 0.757
Rh: 0.500 0.500 0.238